(1)
! PBE Ti2Mo4W3, optimized geometry; values from VASP
&SYSTEM
  ibrav = 0, nat = 9, ntyp = 3
/
ATOMIC_SPECIES
Ti 47.87 Ti.upf
Mo 95.94 Mo.upf
W 183.84 W.upf
ATOMIC_POSITIONS crystal
Ti 0.3333 0.6667 0.2800
Ti 0.6667 0.3333 0.7200
Mo 0.0000 0.0000 0.1635
Mo 0.0000 0.0000 0.8365
Mo 0.3333 0.6667 0.6124
Mo 0.6667 0.3333 0.3876
W 0.0000 0.0000 0.5000
W 0.3333 0.6667 0.9377
W 0.6667 0.3333 0.0623
CELL_PARAMETERS angstrom
4.4624 0.0000 0.0000
-2.2312 3.8646 0.0000
0.0000 0.0000 8.2854
! * density of states at the Fermi level: 4.56 states/eV per cell
! * formation enthalpy at 0 K: -134.8 kJ/mol of formula units
! * calculated volume: 143 Å³/f.u.



(2)
! PBE TiMo2W3, optimized geometry; values from VASP
&SYSTEM
  ibrav = 0, nat = 12, ntyp = 3
/
ATOMIC_SPECIES
Ti 47.87 Ti.upf
Mo 95.94 Mo.upf
W 183.84 W.upf
ATOMIC_POSITIONS crystal
Ti 0.1417 0.1417 0.1287
Ti 0.8583 0.8583 0.8713
Mo 0.2320 0.2320 0.6279
Mo 0.4743 0.4743 0.1225
Mo 0.5257 0.5257 0.8775
Mo 0.7680 0.7680 0.3721
W 0.0646 0.0646 0.6294
W 0.3085 0.3085 0.1217
W 0.3968 0.3968 0.6187
W 0.6032 0.6032 0.3813
W 0.6915 0.6915 0.8783
W 0.9354 0.9354 0.3706
CELL_PARAMETERS angstrom
7.9735 -1.3116 0.0000
7.9735 1.3116 0.0000
-2.7619 0.0000 9.4088
! * density of states at the Fermi level: 11.19 states/eV per cell
! * formation enthalpy at 0 K: 165.7 kJ/mol of formula units
! * calculated volume: 98 Å³/f.u.



(3)
! PBE TiMo8W4, optimized geometry; values from VASP
&SYSTEM
  ibrav = 0, nat = 13, ntyp = 3
/
ATOMIC_SPECIES
Ti 47.87 Ti.upf
Mo 95.94 Mo.upf
W 183.84 W.upf
ATOMIC_POSITIONS crystal
Ti 0.0000 0.0000 0.0000
Mo 0.2244 0.2262 0.7816
Mo 0.2359 0.7000 0.7820
Mo 0.2849 0.2823 0.1732
Mo 0.3005 0.7626 0.2179
Mo 0.6995 0.2374 0.7821
Mo 0.7151 0.7177 0.8268
Mo 0.7641 0.3000 0.2180
Mo 0.7756 0.7738 0.2184
W 0.0000 0.0000 0.5000
W 0.0000 0.5000 0.5000
W 0.5000 0.0000 0.5000
W 0.5000 0.5000 0.5000
CELL_PARAMETERS angstrom
5.5045 0.0000 0.0000
1.8286 5.1977 0.0000
0.8908 0.6121 7.6525
! * density of states at the Fermi level: 9.20 states/eV per cell
! * formation enthalpy at 0 K: 621.6 kJ/mol of formula units
! * calculated volume: 219 Å³/f.u.



(4)
! PBE TiMo2W, optimized geometry; values from VASP
&SYSTEM
  ibrav = 0, nat = 4, ntyp = 3
/
ATOMIC_SPECIES
Ti 47.87 Ti.upf
Mo 95.94 Mo.upf
W 183.84 W.upf
ATOMIC_POSITIONS crystal
Ti 0.0000 0.0000 0.0000
Mo 0.0000 0.5000 0.5000
Mo 0.5000 0.0000 0.5000
W 0.5000 0.5000 0.0000
CELL_PARAMETERS angstrom
4.4806 0.0000 0.0000
0.0000 4.4806 0.0000
0.0000 0.0000 3.1544
! * density of states at the Fermi level: 3.52 states/eV per cell
! * formation enthalpy at 0 K: -48.8 kJ/mol of formula units
! * calculated volume: 63 Å³/f.u.